Record 1
Density functional theory data (GGA-PBE) for NpAgPt after structural relaxation.

CIF file:
```
data_NpAgPt
_symmetry_space_group_name_H-M 'F -4 3 m'
_symmetry_Int_Tables_number 216
_symmetry_space_group_name_Hall 'F -4 2 3'
_cell_length_a 6.5978
_cell_length_b 6.5978
_cell_length_c 6.5978
_cell_angle_alpha 90.00
_cell_angle_beta 90.00
_cell_angle_gamma 90.00
loop_
_atom_site_label
_atom_site_type_symbol
_atom_site_fract_x
_atom_site_fract_y
_atom_site_fract_z
_atom_site_occupancy
Np1 Np 0.0000 0.0000 0.0000 1
Ag1 Ag 0.0000 0.0000 0.5000 1
Pt1 Pt 0.2500 0.2500 0.7500 1
```

Computed properties:
* raw total energy: -7.275 eV per atom
* DFT formation energy: -0.06 eV/atom

---

Record 2
Density functional theory data (GGA-PBE) for RbNpAg after structural relaxation.

CIF file:
```
data_RbNpAg
_symmetry_space_group_name_H-M 'F -4 3 m'
_symmetry_Int_Tables_number 216
_symmetry_space_group_name_Hall 'F -4 2 3'
_cell_length_a 7.7010
_cell_length_b 7.7010
_cell_length_c 7.7010
_cell_angle_alpha 90.00
_cell_angle_beta 90.00
_cell_angle_gamma 90.00
loop_
_atom_site_label
_atom_site_type_symbol
_atom_site_fract_x
_atom_site_fract_y
_atom_site_fract_z
_atom_site_occupancy
Rb1 Rb 0.0000 0.0000 0.0000 1
Np1 Np 0.0000 0.0000 0.5000 1
Ag1 Ag 0.2500 0.2500 0.7500 1
```

Computed properties:
* raw total energy: -4.440 eV per atom

---

Record 3
Density functional theory data (GGA-PBE) for NpTlAgS3 after structural relaxation.

CIF file:
```
data_NpTlAgS3
_symmetry_space_group_name_H-M 'C m c m'
_symmetry_Int_Tables_number 63
_symmetry_space_group_name_Hall '-C 2c 2'
_cell_length_a 4.0762
_cell_length_b 13.9582
_cell_length_c 10.4786
_cell_angle_alpha 90.00
_cell_angle_beta 90.00
_cell_angle_gamma 90.00
loop_
_atom_site_label
_atom_site_type_symbol
_atom_site_fract_x
_atom_site_fract_y
_atom_site_fract_z
_atom_site_occupancy
Np1 Np 0.0000 0.0000 0.0000 1
Tl1 Tl 0.0000 0.2651 0.2500 1
Ag1 Ag 0.0000 0.4428 0.7500 1
S1 S 0.0000 0.0583 0.7500 1
S2 S 0.0000 0.3747 0.5319 1
```

Computed properties:
* raw total energy: -5.890 eV per atom

---

Record 4
Density functional theory data (GGA-PBE) for NpAgSb after structural relaxation.

CIF file:
```
data_NpAgSb
_symmetry_space_group_name_H-M 'F -4 3 m'
_symmetry_Int_Tables_number 216
_symmetry_space_group_name_Hall 'F -4 2 3'
_cell_length_a 6.8248
_cell_length_b 6.8248
_cell_length_c 6.8248
_cell_angle_alpha 90.00
_cell_angle_beta 90.00
_cell_angle_gamma 90.00
loop_
_atom_site_label
_atom_site_type_symbol
_atom_site_fract_x
_atom_site_fract_y
_atom_site_fract_z
_atom_site_occupancy
Np1 Np 0.0000 0.0000 0.0000 1
Ag1 Ag 0.2500 0.2500 0.2500 1
Sb1 Sb 0.0000 0.0000 0.5000 1
```

Computed properties:
* raw total energy: -6.498 eV per atom

---

| no. | magnetic moment (μB/atom) |
| --- | --- |
| 1 | 1.043 |
| 2 | 1.667 |
| 3 | 0.500 |
| 4 | 1.549 |